SrY2Pb PBE-GGA optimized geometry; formation energy from the elements = -0.133 eV per atom; uncorrected energy = -4.713 eV/atom; total magnetization = 0.0 Bohr magnetons per cell; density = 5.879 g cm⁻³
1.0
6.739 0.227 0.883
5.668 3.652 0.883
2.161 0.676 6.032
Sr Pb Y
1 1 2
Cartesian
10.982 3.433 5.285
7.616 2.381 4.508
12.432 3.887 2.102
3.230 1.010 1.566

=====

Mn2AlRh PBE-GGA optimized geometry; formation energy from the elements = 0.247 eV per atom; uncorrected energy = -7.112 eV/atom; total magnetization = 15.1 Bohr magnetons per cell; density = 6.368 g cm⁻³
1.0
-6.876 0.870 1.018
-1.055 -6.799 -1.315
-3.665 -3.490 2.327
Mn Rh Al
4 2 2
Cartesian
-9.704 -7.909 1.465
-5.450 -1.166 1.069
-5.707 -4.738 1.653
-2.331 -5.026 -0.128
-7.253 -2.793 1.598
0.000 0.000 0.000
-3.965 -2.965 -0.149
-4.343 -6.627 0.431

=====

PrCoGe PBE-GGA optimized geometry; formation energy from the elements = -0.220 eV per atom; uncorrected energy = -5.721 eV/atom; total magnetization = 0.0 Bohr magnetons per cell; density = 6.617 g cm⁻³
1.0
3.925 0.000 0.000
1.962 3.399 0.000
1.962 1.133 10.251
Pr Co Ge
2 2 2
Cartesian
3.925 2.266 8.536
3.925 2.266 1.715
1.962 1.133 4.240
5.887 3.399 6.011
1.962 1.133 6.564
5.887 3.399 3.688

=====

La2NbC PBE-GGA optimized geometry; formation energy from the elements = 0.217 eV per atom; uncorrected energy = -7.071 eV/atom; total magnetization = 0.7 Bohr magnetons per cell; density = 5.993 g cm⁻³
1.0
-6.248 3.365 7.025
6.901 -1.787 6.993
1.096 2.755 6.752
La C Nb
4 2 2
Cartesian
2.779 0.545 8.092
2.201 2.364 11.471
0.258 3.740 16.181
-1.741 2.015 5.798
4.161 0.878 10.378
0.326 0.789 7.009
0.000 0.000 0.000
-2.413 3.454 10.394

=====

DyZr5N6 PBE-GGA optimized geometry; uncorrected formation energy = -1.69 eV per atom; uncorrected energy = -9.800 eV/atom; total magnetization = 0.0 Bohr magnetons per cell; density = 7.700 g cm⁻³
1.0
5.646 0.132 0.855
1.383 4.774 2.783
0.094 0.049 5.700
Dy N Zr
1 6 5
Cartesian
0.000 0.000 0.000
5.249 3.654 2.711
4.846 2.158 5.584
1.780 1.253 0.927
2.276 2.798 3.754
4.347 0.523 2.806
2.775 4.433 6.532
3.116 0.893 4.693
0.492 1.606 2.830
4.007 4.062 4.645
3.514 2.453 1.819
0.985 3.217 5.653

=====

TaWC2 PBE-GGA optimized geometry; formation energy from the elements = 0.536 eV per atom; uncorrected energy = -10.277 eV/atom; total magnetization = 0.0 Bohr magnetons per cell; density = 12.874 g cm⁻³
1.0
-2.927 -0.590 -0.266
0.768 -1.440 -5.258
0.501 -2.871 0.859
Ta W C
1 1 2
Cartesian
-1.213 -1.731 0.296
0.635 -2.155 -2.200
-1.079 -1.015 -2.762
0.000 0.000 0.000

=====

Ta3ZnPb PBE-GGA optimized geometry; formation energy from the elements = 1.217 eV per atom; uncorrected energy = -6.891 eV/atom; total magnetization = 0.0 Bohr magnetons per cell; density = 12.684 g cm⁻³
1.0
-0.841 -2.050 -4.194
2.556 -3.769 1.330
-3.907 -2.024 1.772
Zn Ta Pb
1 3 1
Cartesian
0.000 0.000 0.000
-1.954 -1.012 0.886
1.278 -1.884 0.665
-0.420 -1.025 -2.097
-1.096 -3.922 -0.546

=====

La3Pr2Nd PBE-GGA optimized geometry; formation energy from the elements = 0.214 eV per atom; uncorrected energy = -4.638 eV/atom; total magnetization = 0.0 Bohr magnetons per cell; density = 6.348 g cm⁻³
1.0
-0.696 0.329 -3.421
0.490 -6.917 -0.765
-17.619 -1.628 3.429
Nd Pr La
2 4 6
Cartesian
-0.103 -3.294 -2.093
-8.810 -0.814 1.715
-2.731 -5.415 -1.762
-11.212 -6.121 1.694
-15.094 -2.802 1.005
-5.917 -2.425 0.971
-8.912 -4.108 -0.378
-5.337 -5.799 0.529
-3.319 -1.935 -1.308
0.000 0.000 0.000
-11.792 -2.746 2.136
-14.506 -6.282 0.551

=====

no.,calculated volume (Å³ per cell)
1,133.5
2,125.1
3,136.8
4,212.1
5,151.5
6,50.2
7,106.8
8,440.9